{"formula": "TbAl6Ag12", "functional": "GGA-PBE", "state": "relaxed", "cell": [[5.9467, 3.4333, 2.9619], [-5.9467, 3.4333, 2.9619], [0.0000, -6.8666, 2.9619]], "species": ["Tb", "Al", "Al", "Al", "Al", "Al", "Al", "Ag", "Ag", "Ag", "Ag", "Ag", "Ag", "Ag", "Ag", "Ag", "Ag", "Ag", "Ag"], "frac_coords": [[0.0000, 0.0000, 0.0000], [0.2823, 0.2823, 0.6997], [0.2823, 0.6997, 0.2823], [0.3003, 0.7177, 0.7177], [0.6997, 0.2823, 0.2823], [0.7177, 0.3003, 0.7177], [0.7177, 0.7177, 0.3003], [0.1170, 0.5000, 0.8830], [0.1170, 0.8830, 0.5000], [0.1334, 0.3810, 0.3810], [0.3810, 0.1334, 0.3810], [0.3810, 0.3810, 0.1334], [0.5000, 0.1170, 0.8830], [0.5000, 0.8830, 0.1170], [0.6190, 0.6190, 0.8666], [0.6190, 0.8666, 0.6190], [0.8666, 0.6190, 0.6190], [0.8830, 0.1170, 0.5000], [0.8830, 0.5000, 0.1170]], "sg": "R-3m", "total_energy_ev_per_atom": -3.2339, "m_tot_mub_per_cell": 0.00, "crystal_system": "trigonal"}



{"formula": "NpAgTe2", "functional": "GGA-PBE", "state": "relaxed", "cell": [[7.5580, 0.0000, 0.0000], [0.0000, 3.6664, 0.0000], [0.0000, 0.0000, 16.2749]], "species": ["Np", "Np", "Np", "Np", "Ag", "Ag", "Ag", "Ag", "Te", "Te", "Te", "Te", "Te", "Te", "Te", "Te"], "frac_coords": [[0.0801, 0.2500, 0.0335], [0.4199, 0.7500, 0.5335], [0.5801, 0.2500, 0.4665], [0.9199, 0.7500, 0.9665], [0.1384, 0.2500, 0.8220], [0.3616, 0.7500, 0.3220], [0.6384, 0.2500, 0.6780], [0.8616, 0.7500, 0.1780], [0.1775, 0.2500, 0.4259], [0.2269, 0.7500, 0.1634], [0.2731, 0.2500, 0.6634], [0.3225, 0.7500, 0.9259], [0.6775, 0.2500, 0.0741], [0.7269, 0.7500, 0.3366], [0.7731, 0.2500, 0.8366], [0.8225, 0.7500, 0.5741]], "e_form_raw_mev_per_atom": -295, "sg": "Pnma", "total_energy_ev_per_atom": -5.8141, "m_tot_mub_per_cell": 0.00, "crystal_system": "orthorhombic"}



{"formula": "NaAcNb2O7", "functional": "GGA-PBE", "state": "relaxed", "cell": [[3.9171, 0.0000, 0.0000], [0.0000, 3.9171, 0.0000], [0.0000, 0.0000, 11.3106]], "species": ["Na", "Ac", "Nb", "Nb", "O", "O", "O", "O", "O", "O", "O"], "frac_coords": [[0.0000, 0.0000, 0.0000], [0.0000, 0.0000, 0.5000], [0.5000, 0.5000, 0.2861], [0.5000, 0.5000, 0.7139], [0.0000, 0.5000, 0.3259], [0.0000, 0.5000, 0.6741], [0.5000, 0.0000, 0.3259], [0.5000, 0.0000, 0.6741], [0.5000, 0.5000, 0.1265], [0.5000, 0.5000, 0.5000], [0.5000, 0.5000, 0.8735]], "e_form_raw_mev_per_atom": -2680, "sg": "P4/mmm", "total_energy_ev_per_atom": -8.1592, "m_tot_mub_per_cell": 0.00, "crystal_system": "tetragonal"}



{"formula": "VSn3Hg", "functional": "GGA-PBE", "state": "relaxed", "cell": [[5.5182, 0.0000, 0.0000], [0.0000, 5.5182, 0.0000], [0.0000, 0.0000, 5.5182]], "species": ["V", "Sn", "Sn", "Sn", "Hg"], "frac_coords": [[0.0000, 0.0000, 0.0000], [0.0000, 0.5000, 0.5000], [0.5000, 0.0000, 0.5000], [0.5000, 0.5000, 0.0000], [0.5000, 0.5000, 0.5000]], "sg": "Pm-3m", "total_energy_ev_per_atom": -3.2165, "m_tot_mub_per_cell": 3.84, "crystal_system": "cubic"}



{"formula": "BeCdCo2", "functional": "GGA-PBE", "state": "relaxed", "cell": [[2.7459, 0.0000, 0.0000], [0.0000, 2.7459, 0.0000], [0.0000, 0.0000, 6.4136]], "species": ["Be", "Cd", "Co", "Co"], "frac_coords": [[0.0000, 0.0000, 0.0000], [0.0000, 0.0000, 0.5000], [0.5000, 0.5000, 0.1850], [0.5000, 0.5000, 0.8150]], "sg": "P4/mmm", "total_energy_ev_per_atom": -4.6210, "m_tot_mub_per_cell": 1.86, "crystal_system": "tetragonal"}



{"formula": "Rb2NpInCl6", "functional": "GGA-PBE", "state": "relaxed", "cell": [[7.7605, 0.0000, 0.0000], [0.0000, 8.2601, 0.0000], [-7.6472, 0.0000, 11.1455]], "species": ["Rb", "Rb", "Rb", "Rb", "Np", "Np", "In", "In", "Cl", "Cl", "Cl", "Cl", "Cl", "Cl", "Cl", "Cl", "Cl", "Cl", "Cl", "Cl"], "frac_coords": [[0.2242, 0.0709, 0.2498], [0.2242, 0.4291, 0.7498], [0.7758, 0.5709, 0.2502], [0.7758, 0.9291, 0.7502], [0.5000, 0.0000, 0.0000], [0.5000, 0.5000, 0.5000], [0.0000, 0.0000, 0.5000], [0.0000, 0.5000, 0.0000], [0.1606, 0.1827, 0.9434], [0.1606, 0.3173, 0.4434], [0.2648, 0.7221, 0.9368], [0.2648, 0.7779, 0.4368], [0.3859, 0.0479, 0.7695], [0.3859, 0.4521, 0.2695], [0.6141, 0.5479, 0.7305], [0.6141, 0.9521, 0.2305], [0.7352, 0.2221, 0.5632], [0.7352, 0.2779, 0.0632], [0.8394, 0.6827, 0.5566], [0.8394, 0.8173, 0.0566]], "e_form_raw_mev_per_atom": -1669, "sg": "P2_1/c", "total_energy_ev_per_atom": -4.5387, "m_tot_mub_per_cell": 8.00, "crystal_system": "monoclinic"}